# BeCrSb2

A relaxed BeCrSb2 crystal (PBE, Alexandria).

Unit cell a=6.711 b=6.228 c=3.682 alpha=90.00 beta=90.60 gamma=90.00
Space group C2/m (No. 12)
Unique sites:
1 Be 0.000 0.000 0.000
2 Cr 0.000 0.500 0.000
3 Sb 0.250 0.250 0.500

Summary:
ΔE_f (raw) (meV/atom): 529
Size of the total moment (μB/f.u.): 3.4

***

# Li2CuRhI

A relaxed Li2CuRhI crystal (PBE, Alexandria).

Unit cell a=4.571 b=4.571 c=4.702 alpha=90.00 beta=90.00 gamma=90.00
Space group P4/mmm (No. 123)
Unique sites:
1 Li 0.000 0.500 0.000
2 Cu 0.000 0.000 0.000
3 Rh 0.000 0.000 0.500
4 I 0.500 0.500 0.500

Summary:
ΔE_f (raw) (meV/atom): 155
Size of the total moment (μB/f.u.): 0.0

***

# GdThOsPd

A relaxed GdThOsPd crystal (PBE, Alexandria).

Unit cell a=7.086 b=7.086 c=7.086 alpha=90.00 beta=90.00 gamma=90.00
Space group F-43m (No. 216)
Unique sites:
1 Gd 0.000 0.000 0.000
2 Th 0.000 0.000 0.500
3 Os 0.250 0.250 0.750
4 Pd 0.250 0.250 0.250

Summary:
Calculated formation energy (eV per formula unit): -1.935
Size of the total moment (μB/f.u.): 7.1

***

Question: Look up the size of the total moment of the third one.
Answer: 7.1 μB/f.u.